Record 1
This record from Alexandria describes crystalline SrAlSn2S6 at its relaxed geometry. The functional is PBE-GGA.

Cell: 9.0154 9.0154 7.9598 Å, 109.58 109.58 81.43°
Element x y z (fractional)
Sr  0.1592  0.8408  0.7500
Sr  0.8408  0.1592  0.2500
Al  0.1777  0.8223  0.2500
Al  0.8223  0.1777  0.7500
Sn  0.2393  0.3753  0.8355
Sn  0.3753  0.2393  0.3355
Sn  0.6247  0.7607  0.6645
Sn  0.7607  0.6247  0.1645
S  0.0397  0.1660  0.6574
S  0.1209  0.6383  0.9655
S  0.1660  0.0397  0.1574
S  0.2678  0.4448  0.5646
S  0.3617  0.8791  0.5345
S  0.4448  0.2678  0.0646
S  0.5552  0.7322  0.9354
S  0.6383  0.1209  0.4655
S  0.7322  0.5552  0.4354
S  0.8340  0.9603  0.8426
S  0.8791  0.3617  0.0345
S  0.9603  0.8340  0.3426

Total magnetic moment ... 0.00 μB/f.u.
E ... -92.03 eV per cell
D(E_F) ... 4.039 states/eV/f.u.
Formation energy from raw total energies ... -0.782 eV per atom
Symmetry ... C2/c


Record 2
This record from Alexandria describes crystalline TaAlSnS6 at its relaxed geometry. The functional is PBE-GGA.

Cell: 6.2432 6.2432 5.5444 Å, 90.00 90.00 120.00°
Element x y z (fractional)
Ta  0.0000  0.0000  0.0000
Al  0.6667  0.3333  0.0000
Sn  0.3333  0.6667  0.5000
S  0.3378  0.0317  0.7534
S  0.3378  0.3061  0.2466
S  0.6939  0.0317  0.2466
S  0.6939  0.6622  0.7534
S  0.9683  0.3061  0.7534
S  0.9683  0.6622  0.2466

Total magnetic moment ... 0.00 μB/f.u.
E ... -50.00 eV per cell
D(E_F) ... 2.227 states/eV/f.u.
Formation energy from raw total energies ... -0.626 eV per atom
Symmetry ... P312


Record 3
This record from Alexandria describes crystalline AlSn2TeS at its relaxed geometry. The functional is PBE-GGA.

Cell: 5.9033 5.9033 5.4044 Å, 90.00 90.00 90.00°
Element x y z (fractional)
Al  0.0000  0.0000  0.0000
Sn  0.0000  0.5000  0.5000
Sn  0.5000  0.0000  0.5000
Te  0.0000  0.0000  0.5000
S  0.5000  0.5000  0.0000

Total magnetic moment ... 0.00 μB/f.u.
E ... -14.82 eV per cell
D(E_F) ... 3.007 states/eV/f.u.
Formation energy from raw total energies ... 0.840 eV per atom
Symmetry ... P4/mmm


Record 4
This record from Alexandria describes crystalline AlTl2SnS4 at its relaxed geometry. The functional is PBE-GGA.

Cell: 7.8951 9.5431 6.2478 Å, 90.00 90.00 90.00°
Element x y z (fractional)
Al  0.0000  0.1437  0.0000
Al  0.5000  0.8563  0.5000
Tl  0.2275  0.6515  0.0640
Tl  0.2725  0.3485  0.5640
Tl  0.7275  0.3485  0.5640
Tl  0.7725  0.6515  0.0640
Sn  0.0000  0.8890  0.5200
Sn  0.5000  0.1110  0.0200
S  0.0000  0.1471  0.6331
S  0.0000  0.9162  0.1085
S  0.2334  0.2696  0.0891
S  0.2666  0.7304  0.5891
S  0.5000  0.0838  0.6085
S  0.5000  0.8529  0.1331
S  0.7334  0.7304  0.5891
S  0.7666  0.2696  0.0891

Total magnetic moment ... 0.00 μB/f.u.
E ... -67.02 eV per cell
D(E_F) ... 2.277 states/eV/f.u.
Formation energy from raw total energies ... -0.565 eV per atom
Symmetry ... Pmn2_1